#A
A relaxed Mg5Cd2Ga crystal. Source: Alexandria, functional PBE.

Calculated values
crystal system: orthorhombic
space-group type: Pbam, No. 55

Lattice parameters (Å, degrees): 4.6026 6.1147 12.1667 90.00 90.00 90.00
Last column: nearest neighbours and their distance in Å.
Fractional positions:
1 Mg 0.5000 0.3190 0.1076  2 Ga 2.87, 4 Cd 3.00-3.16
2 Mg 0.5000 0.6810 0.8924  2 Ga 2.87, 4 Cd 3.00-3.16
3 Mg 0.5000 0.8190 0.3924  2 Ga 2.87, 4 Cd 3.00-3.16
4 Mg 0.5000 0.1810 0.6076  2 Ga 2.87, 4 Cd 3.00-3.16
5 Mg 0.0000 0.9180 0.7379  1 Ga 2.94, 4 Cd 3.01-3.14, 5 Mg 3.07-3.23
6 Mg 0.0000 0.0820 0.2621  1 Ga 2.94, 4 Cd 3.01-3.14, 5 Mg 3.07-3.23
7 Mg 0.0000 0.4180 0.7621  1 Ga 2.94, 4 Cd 3.01-3.14, 5 Mg 3.07-3.23
8 Mg 0.0000 0.5820 0.2379  1 Ga 2.94, 4 Cd 3.01-3.14, 5 Mg 3.07-3.23
9 Mg 0.0000 0.5000 0.5000  4 Cd 3.04, 2 Ga 3.06, 6 Mg 3.23-3.29
10 Mg 0.0000 0.0000 0.0000  4 Cd 3.04, 2 Ga 3.06, 6 Mg 3.23-3.29
11 Cd 0.5000 0.3323 0.3606  10 Mg 3.00-3.16
12 Cd 0.5000 0.6677 0.6394  10 Mg 3.00-3.16
13 Cd 0.5000 0.1677 0.8606  10 Mg 3.00-3.16
14 Cd 0.5000 0.8323 0.1394  10 Mg 3.00-3.16
15 Ga 0.0000 0.0000 0.5000  8 Mg 2.87-3.06
16 Ga 0.0000 0.5000 0.0000  8 Mg 2.87-3.06

---

#B
A relaxed Mg5Cd2Ga crystal. Source: Alexandria, functional PBE.

Calculated values
crystal system: tetragonal
space-group type: I4/mcm, No. 140

Lattice parameters (Å, degrees): 7.3288 7.3288 8.3777 115.94 115.94 90.00
Last column: nearest neighbours and their distance in Å.
Fractional positions:
1 Mg 0.4966 0.6826 0.6792  3 Cd 2.98-3.03, 2 Ga 3.01, 4 Mg 3.05-3.30
2 Mg 0.8174 0.0034 0.3208  3 Cd 2.98-3.03, 2 Ga 3.01, 4 Mg 3.05-3.30
3 Mg 0.0000 0.0000 0.0000  4 Cd 2.83
4 Mg 0.5000 0.5000 0.0000  4 Cd 2.83
5 Mg 0.1826 0.9966 0.6792  3 Cd 2.98-3.03, 2 Ga 3.01, 4 Mg 3.05-3.30
6 Mg 0.6826 0.1826 0.6792  3 Cd 2.98-3.03, 2 Ga 3.01, 4 Mg 3.05-3.30
7 Mg 0.9966 0.4966 0.6792  3 Cd 2.98-3.03, 2 Ga 3.01, 4 Mg 3.05-3.30
8 Mg 0.3174 0.8174 0.3208  3 Cd 2.98-3.03, 2 Ga 3.01, 4 Mg 3.05-3.30
9 Mg 0.0034 0.5034 0.3208  3 Cd 2.98-3.03, 2 Ga 3.01, 4 Mg 3.05-3.30
10 Mg 0.5034 0.3174 0.3208  3 Cd 2.98-3.03, 2 Ga 3.01, 4 Mg 3.05-3.30
11 Cd 0.1396 0.3604 0.0000  8 Mg 2.83-3.03, 1 Cd 2.89
12 Cd 0.6396 0.1396 0.0000  8 Mg 2.83-3.03, 1 Cd 2.89
13 Cd 0.3604 0.8604 0.0000  8 Mg 2.83-3.03, 1 Cd 2.89
14 Cd 0.8604 0.6396 0.0000  8 Mg 2.83-3.03, 1 Cd 2.89
15 Ga 0.7500 0.7500 0.5000  10 Mg 3.01-3.29
16 Ga 0.2500 0.2500 0.5000  10 Mg 3.01-3.29

---

#A is favored, and the nearest alternative lies 4.5 kJ/mol of atoms above it.

---

#A
A relaxed NaMgCdGa crystal. Source: Alexandria, functional PBE.

Calculated values
crystal system: tetragonal
space-group type: P4mm, No. 99

Lattice parameters (Å, degrees): 3.1810 3.1810 8.8152 90.00 90.00 90.00
Last column: nearest neighbours and their distance in Å.
Fractional positions:
1 Na 0.5000 0.5000 0.8068  4 Na 3.18, 4 Ga 3.19, 4 Cd 3.35
2 Mg 0.5000 0.5000 0.3385  4 Ga 2.92, 4 Cd 3.14, 4 Mg 3.18
3 Cd 0.0000 0.0000 0.0892  4 Mg 3.14, 4 Cd 3.18, 4 Na 3.35
4 Ga 0.0000 0.0000 0.5503  4 Mg 2.92, 4 Ga 3.18, 4 Na 3.19

---

#B
A relaxed NaMgCdGa crystal. Source: Alexandria, functional PBE.

Calculated values
crystal system: cubic
space-group type: F-43m, No. 216

Lattice parameters (Å, degrees): 4.9934 4.9934 4.9934 60.00 60.00 60.00
Last column: nearest neighbours and their distance in Å.
Fractional positions:
1 Na 0.0000 0.0000 0.0000  4 Cd 3.06, 4 Ga 3.06
2 Mg 0.5000 0.5000 0.5000  4 Cd 3.06, 4 Ga 3.06
3 Ga 0.2500 0.2500 0.2500  4 Na 3.06, 4 Mg 3.06
4 Cd 0.7500 0.7500 0.7500  4 Na 3.06, 4 Mg 3.06

---

#A is favored, and the nearest alternative lies 5.5 kJ/mol of atoms above it.

---

#A
A relaxed Cd2Ga2Mo crystal. Source: Alexandria, functional PBE.

Calculated values
crystal system: tetragonal
space-group type: I4/mmm, No. 139

Lattice parameters (Å, degrees): 3.7400 3.7400 7.5574 75.67 75.67 90.00
Last column: nearest neighbours and their distance in Å.
Fractional positions:
1 Mo 0.0000 0.0000 0.0000  8 Ga 2.91
2 Ga 0.4138 0.4138 0.1725  1 Ga 2.44
3 Ga 0.5863 0.5863 0.8275  1 Ga 2.44
4 Cd 0.7500 0.2500 0.5000  4 Cd 2.64
5 Cd 0.2500 0.7500 0.5000  4 Cd 2.64

---

#B
A relaxed Cd2Ga2Mo crystal. Source: Alexandria, functional PBE.

Calculated values
crystal system: tetragonal
space-group type: P4/mbm, No. 127

Lattice parameters (Å, degrees): 6.8806 6.8806 3.9881 90.00 90.00 90.00
Last column: nearest neighbours and their distance in Å.
Fractional positions:
1 Mo 0.0000 0.0000 0.0000  4 Ga 2.66
2 Mo 0.5000 0.5000 0.0000  4 Ga 2.66
3 Ga 0.3596 0.8596 0.0000  2 Mo 2.66, 6 Cd 2.71-2.93, 1 Ga 2.73
4 Ga 0.8596 0.6404 0.0000  2 Mo 2.66, 6 Cd 2.71-2.93, 1 Ga 2.73
5 Ga 0.6404 0.1404 0.0000  2 Mo 2.66, 6 Cd 2.71-2.93, 1 Ga 2.73
6 Ga 0.1404 0.3596 0.0000  2 Mo 2.66, 6 Cd 2.71-2.93, 1 Ga 2.73
7 Cd 0.1706 0.6706 0.5000  6 Ga 2.71-2.93
8 Cd 0.6706 0.8294 0.5000  6 Ga 2.71-2.93
9 Cd 0.8294 0.3294 0.5000  6 Ga 2.71-2.93
10 Cd 0.3294 0.1706 0.5000  6 Ga 2.71-2.93

---

#B is favored, and the nearest alternative lies 20.2 kJ/mol of atoms above it.

---

#A
A relaxed CdGa3N crystal. Source: Alexandria, functional PBE.

Calculated values
crystal system: cubic
space-group type: Pm-3m, No. 221

Lattice parameters (Å, degrees): 5.0681 5.0681 5.0681 90.00 90.00 90.00
Last column: nearest neighbours and their distance in Å.
Fractional positions:
1 N 0.5000 0.5000 0.5000  12 Ga 3.58
2 Ga 0.0000 0.5000 0.0000  2 Cd 2.53
3 Ga 0.0000 0.0000 0.5000  2 Cd 2.53
4 Ga 0.5000 0.0000 0.0000  2 Cd 2.53
5 Cd 0.0000 0.0000 0.0000  6 Ga 2.53

---

#B
A relaxed CdGa3N crystal. Source: Alexandria, functional PBE.

Calculated values
crystal system: cubic
space-group type: Pm-3m, No. 221

Lattice parameters (Å, degrees): 4.4397 4.4397 4.4397 90.00 90.00 90.00
Last column: nearest neighbours and their distance in Å.
Fractional positions:
1 N 0.0000 0.0000 0.0000  6 Ga 2.22
2 Ga 0.0000 0.5000 0.0000  2 N 2.22
3 Ga 0.0000 0.0000 0.5000  2 N 2.22
4 Ga 0.5000 0.0000 0.0000  2 N 2.22
5 Cd 0.5000 0.5000 0.5000  12 Ga 3.14

---

#B is favored, and the nearest alternative lies 106.9 kJ/mol of atoms above it.